RuCl2F | PBE | optimized geometry

As for the density of states at the Fermi level: 16.216 states/eV per cell. Its calculated density is 4.07 g cm⁻³. The value obtained for the energy relative to the elements, uncorrected is -0.114 eV/atom. The calculation puts the energy above the most stable polymorph in this dataset at 0.725 eV per atom.

It has space group I-42d (No. 122), with a = 6.504 Å, b = 6.504 Å, c = 7.373 Å, α = 90.00°, β = 90.00° and γ = 90.00°. The distinct sites, in fractional coordinates, are Ru at (0.000, 0.000, 0.000), Cl at (0.191, 0.250, 0.125) and F at (0.000, 0.000, 0.500).